Ta24Re5, relaxed, DFT GGA-PBE; symmetry = No. 217; energy of formation = 235 meV/atom; crystal system = cubic; total DFT energy (no corrections) = -11.715 eV/atom; density = 16.75 g cm⁻³; spin magnetization = 0.083 μB/f.u.
1.0
-5.075 5.075 5.075
5.075 -5.075 5.075
5.075 5.075 -5.075
Ta Re
24 5
Cartesian
2.825 0.945 -0.945 Ta
2.825 -0.945 0.945 Ta
5.566 1.400 -1.400 Ta
5.566 -1.400 1.400 Ta
0.945 2.825 -0.945 Ta
0.945 -0.945 2.825 Ta
7.326 0.945 0.945 Ta
4.584 1.400 1.400 Ta
3.675 3.675 -0.491 Ta
3.675 -0.491 3.675 Ta
-0.945 2.825 0.945 Ta
-0.945 0.945 2.825 Ta
1.400 5.566 -1.400 Ta
1.400 -1.400 5.566 Ta
1.400 4.584 1.400 Ta
1.400 1.400 4.584 Ta
4.130 4.130 2.251 Ta
4.130 2.251 4.130 Ta
-1.400 5.566 1.400 Ta
-1.400 1.400 5.566 Ta
-0.491 3.675 3.675 Ta
2.251 4.130 4.130 Ta
0.945 7.326 0.945 Ta
0.945 0.945 7.326 Ta
0.000 0.000 0.000 Re
3.221 3.221 -3.221 Re
3.221 -3.221 3.221 Re
1.855 1.855 1.855 Re
-3.221 3.221 3.221 Re

Hf2AlZnFe2Ir2, relaxed, DFT GGA-PBE; symmetry = No. 115; crystal system = tetragonal; total DFT energy (no corrections) = -7.971 eV/atom; density = 13.31 g cm⁻³; spin magnetization = 0.503 μB/f.u.
1.0
4.372 0.000 0.000
0.000 4.372 0.000
0.000 0.000 6.171
Hf Al Zn Fe Ir
2 1 1 2 2
Cartesian
0.000 0.000 0.000 Hf
2.186 2.186 3.086 Hf
0.000 0.000 3.086 Al
2.186 2.186 0.000 Zn
0.000 2.186 1.554 Fe
2.186 0.000 4.617 Fe
0.000 2.186 4.594 Ir
2.186 0.000 1.577 Ir

GdMgZn, relaxed, DFT GGA-PBE; symmetry = No. 156; crystal system = trigonal; total DFT energy (no corrections) = -2.393 eV/atom; density = 5.60 g cm⁻³; spin magnetization = 0.015 μB/f.u.
1.0
4.472 0.000 0.000
-2.236 3.873 0.000
0.000 0.000 12.687
Gd Mg Zn
3 3 3
Cartesian
0.000 0.000 0.000 Gd
0.000 0.000 4.522 Gd
2.236 1.291 2.278 Gd
0.000 2.582 6.847 Mg
0.000 2.582 9.858 Mg
2.236 1.291 10.989 Mg
0.000 0.000 8.856 Zn
2.236 1.291 5.687 Zn
2.236 1.291 8.209 Zn

NaTlCoBi, relaxed, DFT GGA-PBE; symmetry = No. 216; crystal system = cubic; E above lowest polymorph = 0 meV per atom; total DFT energy (no corrections) = -3.401 eV/atom; density = 9.42 g cm⁻³; spin magnetization = 1.476 μB/f.u.
1.0
0.000 3.521 3.521
3.521 0.000 3.521
3.521 3.521 0.000
Na Tl Co Bi
1 1 1 1
Cartesian
0.000 0.000 0.000 Na
1.761 1.761 1.761 Tl
3.521 3.521 3.521 Co
5.282 5.282 5.282 Bi